Entry 1:
Below is an optimized crystal structure of ScBiF3, with properties calculated at the PBE-GGA level.

The structure belongs to space group Pm-3m (No. 221); the cell edges are 4.7290, 4.7290 and 4.7290 Å and the angles 90.00°, 90.00° and 90.00°. Symmetry generates all atoms from Sc at (0.0000, 0.0000, 0.0000), Bi at (0.5000, 0.5000, 0.5000) and F at (0.0000, 0.5000, 0.5000).

Its energy above the most stable polymorph in this dataset is 1.015 eV/atom. The total energy is -22.50 eV/cell. As for the formation energy from raw total energies: -1334 meV per atom.



Entry 2:
Below is an optimized crystal structure of Sc2BiF, with properties calculated at the PBE-GGA level.

The structure belongs to space group R-3m (No. 166, hexagonal axes); the cell edges are 3.4772, 3.4772 and 25.4220 Å and the angles 90.00°, 90.00° and 120.00°. Symmetry generates all atoms from Sc at (0.0000, 0.0000, 0.1161), Bi at (0.0000, 0.0000, 0.0000) and F at (0.0000, 0.0000, 0.5000).

Its energy above the most stable polymorph in this dataset is 0.528 eV/atom. The total energy is -66.20 eV/cell. As for the formation energy from raw total energies: -913 meV per atom.



Entry 3:
Below is an optimized crystal structure of ScBi2F11, with properties calculated at the PBE-GGA level.

The structure belongs to space group Ibam (No. 72); the cell edges are 8.1393, 10.1976 and 10.5217 Å and the angles 90.00°, 90.00° and 90.00°. Symmetry generates all atoms from Sc at (0.0000, 0.0000, 0.2500), Bi at (0.1545, 0.3198, 0.0000), F at (0.0000, 0.5000, 0.0000), F at (0.1067, 0.1876, 0.1543), F at (0.1244, 0.2878, 0.5000) and F at (0.1908, 0.0605, 0.3669).

The total energy is -279.55 eV/cell. As for the formation energy from raw total energies: -2515 meV per atom.



Entry 4:
Below is an optimized crystal structure of Sr2ScBiF, with properties calculated at the PBE-GGA level.

The structure belongs to space group P4/mmm (No. 123); the cell edges are 6.4974, 6.4974 and 5.3724 Å and the angles 90.00°, 90.00° and 90.00°. Symmetry generates all atoms from Sr at (0.0000, 0.5000, 0.0000), Sc at (0.0000, 0.0000, 0.0000), Bi at (0.0000, 0.0000, 0.5000) and F at (0.5000, 0.5000, 0.5000).

The total energy is -16.98 eV/cell. As for the formation energy from raw total energies: -307 meV per atom.



Entry 5:
Below is an optimized crystal structure of ScTc2BiF, with properties calculated at the PBE-GGA level.

The structure belongs to space group P4/mmm (No. 123); the cell edges are 5.1227, 5.1227 and 5.6737 Å and the angles 90.00°, 90.00° and 90.00°. Symmetry generates all atoms from Sc at (0.0000, 0.0000, 0.0000), Tc at (0.0000, 0.5000, 0.5000), Bi at (0.0000, 0.0000, 0.5000) and F at (0.5000, 0.5000, 0.0000).

The total energy is -25.63 eV/cell. As for the formation energy from raw total energies: 1436 meV per atom.



Entry 6:
Below is an optimized crystal structure of Sc2TcBiF, with properties calculated at the PBE-GGA level.

The structure belongs to space group P4/mmm (No. 123); the cell edges are 4.5725, 4.5725 and 4.2946 Å and the angles 90.00°, 90.00° and 90.00°. Symmetry generates all atoms from Sc at (0.0000, 0.5000, 0.0000), Tc at (0.0000, 0.0000, 0.5000), Bi at (0.5000, 0.5000, 0.5000) and F at (0.0000, 0.0000, 0.0000).

The total energy is -31.55 eV/cell. As for the formation energy from raw total energies: -554 meV per atom.



Entry 7:
Below is an optimized crystal structure of BiSe2F, with properties calculated at the PBE-GGA level.

The structure belongs to space group R-3m (No. 166, hexagonal axes); the cell edges are 4.4357, 4.4357 and 19.0137 Å and the angles 90.00°, 90.00° and 120.00°. Symmetry generates all atoms from Bi at (0.0000, 0.0000, 0.0000), Se at (0.0000, 0.0000, 0.1572) and F at (0.0000, 0.0000, 0.5000).

Its energy above the most stable polymorph in this dataset is 0.709 eV/atom. The total energy is -39.40 eV/cell. As for the formation energy from raw total energies: -103 meV per atom.



Entry 8:
Below is an optimized crystal structure of Bi2Se3F, with properties calculated at the PBE-GGA level.

The structure belongs to space group C2/m (No. 12); the cell edges are 17.4312, 4.1042 and 10.3091 Å and the angles 90.00°, 118.19° and 90.00°. Symmetry generates all atoms from Bi at (0.1229, 0.0000, 0.4471), Bi at (0.1304, 0.5000, 0.8321), Se at (0.0425, 0.5000, 0.2244), Se at (0.1582, 0.0000, 0.0371), Se at (0.2492, 0.5000, 0.6530) and F at (0.0808, 0.0000, 0.6506).

The total energy is -96.08 eV/cell. As for the formation energy from raw total energies: -655 meV per atom.